Record 1
Below is Zr4Si23 after structural relaxation, with properties calculated at the PBE level.

Cell: 9.989 9.989 9.989 Å, 90.00 90.00 90.00°
Fractional coordinates of all 54 atoms:
Si 0.000 0.688 0.115
Zr 0.500 0.000 0.750
Si 0.885 0.000 0.312
Si 0.115 0.000 0.688
Si 0.183 0.183 0.183
Zr 0.250 0.500 0.000
Si 0.000 0.500 0.750
Si 0.250 0.000 0.500
Si 0.188 0.500 0.615
Si 0.183 0.817 0.817
Si 0.817 0.183 0.183
Si 0.000 0.312 0.885
Zr 0.000 0.000 0.000
Si 0.385 0.188 0.500
Si 0.615 0.188 0.500
Zr 0.500 0.000 0.250
Si 0.317 0.683 0.317
Si 0.817 0.817 0.817
Si 0.750 0.000 0.500
Zr 0.000 0.250 0.500
Si 0.817 0.183 0.817
Si 0.812 0.500 0.615
Zr 0.750 0.500 0.000
Si 0.188 0.500 0.385
Si 0.500 0.385 0.188
Si 0.000 0.688 0.885
Si 0.683 0.683 0.683
Si 0.885 0.000 0.688
Si 0.500 0.615 0.812
Si 0.817 0.817 0.183
Si 0.312 0.115 0.000
Si 0.500 0.750 0.000
Si 0.683 0.683 0.317
Si 0.317 0.317 0.683
Si 0.683 0.317 0.683
Si 0.312 0.885 0.000
Si 0.500 0.250 0.000
Si 0.183 0.183 0.817
Si 0.688 0.115 0.000
Si 0.688 0.885 0.000
Si 0.317 0.683 0.683
Si 0.812 0.500 0.385
Zr 0.000 0.750 0.500
Si 0.000 0.500 0.250
Si 0.183 0.817 0.183
Si 0.385 0.812 0.500
Si 0.500 0.615 0.188
Si 0.615 0.812 0.500
Si 0.317 0.317 0.317
Si 0.000 0.312 0.115
Zr 0.500 0.500 0.500
Si 0.683 0.317 0.317
Si 0.115 0.000 0.312
Si 0.500 0.385 0.812

**Energy relative to the elements, uncorrected**: 286.6 meV per atom
**Uncorrected energy**: -5.60 eV per atom
**Total magnetic moment**: 0.00 μB/f.u.
**Density**: 3.37 g/cm3

Record 2
Below is PrGdTmPu after structural relaxation, with properties calculated at the PBE level.

Cell: 5.645 5.645 5.645 Å, 60.00 60.00 60.00°
Site moments in Bohr magnetons follow the coordinates.
Fractional coordinates of all 4 atoms:
Tm 0.750 0.750 0.750  -0.30
Pu 0.500 0.500 0.500  -5.67
Pr 0.250 0.250 0.250  -0.24
Gd 0.000 0.000 0.000  6.95

**Formation energy from the elements**: 233 meV/atom
**Uncorrected energy**: -9.18 eV per atom
**Total magnetic moment**: 0.01 μB/f.u.
**Density**: 9.28 g/cm3

Record 3
Below is NdSm5Ag after structural relaxation, with properties calculated at the PBE level.

Cell: 7.501 7.501 12.500 Å, 58.54 58.54 52.14°
Fractional coordinates of all 14 atoms:
Ag 0.000 0.000 0.500
Sm 0.233 0.235 0.447
Nd 0.762 0.238 0.250
Sm 0.664 0.662 0.870
Nd 0.238 0.762 0.750
Sm 0.765 0.767 0.053
Sm 0.662 0.664 0.370
Sm 0.336 0.338 0.130
Sm 0.767 0.765 0.553
Ag 0.000 0.000 0.000
Sm 0.761 0.239 0.750
Sm 0.235 0.233 0.947
Sm 0.239 0.761 0.250
Sm 0.338 0.336 0.630

**Formation energy from the elements**: 113 meV/atom
**Uncorrected energy**: -4.35 eV per atom
**Total magnetic moment**: 0.00 μB/f.u.
**Density**: 7.38 g/cm3

Record 4
Below is Rb4NaH7 after structural relaxation, with properties calculated at the PBE level.

Cell: 4.102 7.910 9.261 Å, 71.95 77.21 74.97°
Fractional coordinates of all 12 atoms:
H 0.500 0.000 0.000
Rb 0.456 0.361 0.726
H 0.247 0.503 0.003
H 0.753 0.497 0.997
Rb 0.718 0.874 0.691
Rb 0.282 0.126 0.309
H 0.358 0.727 0.557
H 0.074 0.106 0.746
H 0.642 0.273 0.443
Na 0.000 0.000 0.000
Rb 0.544 0.639 0.274
H 0.926 0.894 0.254

**Uncorrected energy**: -2.20 eV per atom
**Total magnetic moment**: 0.29 μB/f.u.
**Density**: 2.27 g/cm3